# 1
{"formula": "Ta2RhPb", "functional": "PBE", "state": "relaxed", "cell": [[2.989, 0.000, 0.000], [0.000, 4.123, 0.000], [0.000, 0.000, 6.031]], "species": ["Ta", "Ta", "Rh", "Pb"], "fractional_positions": [[0.000, 0.000, 0.222], [0.000, 0.000, 0.778], [0.500, 0.500, 0.000], [0.500, 0.500, 0.500]], "dft_energy_ry_per_atom": -0.627, "sg": "Pmmm"}



# 2
{"formula": "Ta2RhPb", "functional": "PBE", "state": "relaxed", "cell": [[2.003, -2.246, 0.000], [2.003, 2.246, 0.000], [0.000, 0.000, 8.314]], "species": ["Ta", "Ta", "Rh", "Pb"], "fractional_positions": [[0.000, 0.000, 0.220], [0.000, 0.000, 0.780], [0.500, 0.500, 0.000], [0.500, 0.500, 0.500]], "dft_energy_ry_per_atom": -0.628, "sg": "Cmmm"}



# 3
{"formula": "Ta2RhPb", "functional": "PBE", "state": "relaxed", "cell": [[1.568, 0.905, 9.291], [-1.568, 0.905, 9.291], [0.000, -1.810, 9.291]], "species": ["Ta", "Ta", "Rh", "Pb"], "fractional_positions": [[0.000, 0.000, 0.000], [0.252, 0.252, 0.252], [0.734, 0.734, 0.734], [0.491, 0.491, 0.491]], "dft_energy_ry_per_atom": -0.627, "sg": "R3m"}



# 4
{"formula": "TaRhPb2", "functional": "PBE", "state": "relaxed", "cell": [[0.000, 3.452, 3.452], [3.452, 0.000, 3.452], [3.452, 3.452, 0.000]], "species": ["Ta", "Rh", "Pb", "Pb"], "fractional_positions": [[0.000, 0.000, 0.000], [0.500, 0.500, 0.500], [0.250, 0.250, 0.250], [0.750, 0.750, 0.750]], "dft_energy_ry_per_atom": -0.450, "e_above_lowest_polymorph_ev_per_atom": 0.540, "sg": "Fm-3m"}



# 5
{"formula": "Ta2RhPb2", "functional": "PBE", "state": "relaxed", "cell": [[-2.005, 2.005, 7.117], [2.005, -2.005, 7.117], [2.005, 2.005, -7.117]], "species": ["Ta", "Ta", "Rh", "Pb", "Pb"], "fractional_positions": [[0.085, 0.085, 0.000], [0.915, 0.915, 0.000], [0.500, 0.500, 0.000], [0.250, 0.750, 0.500], [0.750, 0.250, 0.500]], "dft_energy_ry_per_atom": -0.488, "e_above_lowest_polymorph_ev_per_atom": 0.554, "sg": "I4/mmm"}



# 6
{"formula": "TaRh4Pb", "functional": "PBE", "state": "relaxed", "cell": [[0.000, 3.683, 3.683], [3.683, 0.000, 3.683], [3.683, 3.683, 0.000]], "species": ["Ta", "Rh", "Rh", "Rh", "Rh", "Pb"], "fractional_positions": [[0.000, 0.000, 0.000], [0.124, 0.625, 0.625], [0.625, 0.124, 0.625], [0.625, 0.625, 0.124], [0.625, 0.625, 0.625], [0.250, 0.250, 0.250]], "dft_energy_ry_per_atom": -0.548, "sg": "F-43m"}



Per-record DFT formation energy, eV/atom: 0.16 0.15 0.16 0.54 1.05 0.04